a:
Density functional theory data (PBE-GGA) for a geometry-optimized Ti3Al2Au structure.

Calculated values
space group = P4/mmm, No. 123
calculated volume = 16.45 A^3/atom
magnetization = 0.00 μB per formula unit

Lattice parameters (Å, degrees): 2.8788 2.8788 11.9081 90.00 90.00 90.00
Positions (direct):
Ti 0.0000 0.0000 0.0000
Ti 0.0000 0.0000 0.6706
Ti 0.0000 0.0000 0.3294
Al 0.5000 0.5000 0.8332
Al 0.5000 0.5000 0.1668
Au 0.5000 0.5000 0.5000

=====

b:
Density functional theory data (PBE-GGA) for a geometry-optimized Ti3Al2Au structure.

Calculated values
space group = Cmmm, No. 65
calculated volume = 16.30 A^3/atom
magnetization = 0.18 μB per formula unit

Lattice parameters (Å, degrees): 8.4122 6.2397 6.2397 143.34 90.00 90.00
Last column: magnetic moment on the atom in μB.
Positions (direct):
Ti 0.4696 0.1703 0.8297  -0.01
Ti 0.9696 0.1703 0.8297  -0.01
Ti 0.4697 0.5000 0.5000  0.16
Ti 0.9697 0.5000 0.5000  0.16
Ti 0.9696 0.8297 0.1703  -0.01
Ti 0.4696 0.8297 0.1703  -0.01
Al 0.7196 0.3366 0.6634  0.00
Al 0.2196 0.3366 0.6634  0.00
Al 0.2196 0.6634 0.3366  0.00
Al 0.7196 0.6634 0.3366  0.00
Au 0.7196 0.0000 0.0000  0.01
Au 0.2196 0.0000 0.0000  0.01

=====

Name the most stable of them. b.

=====

a:
Density functional theory data (PBE-GGA) for a geometry-optimized Ti3Al3Au2 structure.

Calculated values
space group = Pmmm, No. 47
calculated volume = 16.27 A^3/atom
magnetization = 1.26 μB per formula unit

Lattice parameters (Å, degrees): 4.1342 4.0842 7.7072 90.00 90.00 90.00
Last column: magnetic moment on the atom in μB.
Positions (direct):
Ti 0.5000 0.5000 0.7468  0.20
Ti 0.5000 0.5000 0.2532  0.20
Ti 0.5000 0.0000 0.0000  0.64
Al 0.5000 0.0000 0.5000  -0.01
Al 0.0000 0.5000 0.0000  -0.01
Al 0.0000 0.5000 0.5000  0.00
Au 0.0000 0.0000 0.7496  0.01
Au 0.0000 0.0000 0.2504  0.01

=====

b:
Density functional theory data (PBE-GGA) for a geometry-optimized Ti3Al3Au2 structure.

Calculated values
space group = Immm, No. 71
calculated volume = 16.53 A^3/atom
magnetization = 0.00 μB per formula unit

Lattice parameters (Å, degrees): 4.1879 4.1729 8.1260 104.88 104.93 90.00
Positions (direct):
Ti 0.3762 0.8761 0.7524
Ti 0.5000 0.5000 0.0000
Ti 0.6238 0.1239 0.2476
Al 0.8715 0.3716 0.7431
Al 0.1285 0.6284 0.2569
Al 0.0000 0.0000 0.0000
Au 0.7459 0.7460 0.4918
Au 0.2541 0.2540 0.5082

=====

Name the most stable of them. a.

=====

a:
Density functional theory data (PBE-GGA) for a geometry-optimized Ti4AlAu structure.

Calculated values
space group = Pbam, No. 55
calculated volume = 16.82 A^3/atom
magnetization = 3.11 μB per formula unit

Lattice parameters (Å, degrees): 2.7801 7.8954 18.3862 90.00 90.00 90.00
Last column: magnetic moment on the atom in μB.
Positions (direct):
Ti 0.5000 0.7717 0.1883  0.75
Ti 0.5000 0.2283 0.8117  0.75
Ti 0.5000 0.2717 0.3117  0.75
Ti 0.5000 0.7283 0.6883  0.75
Ti 0.5000 0.9333 0.0635  0.28
Ti 0.5000 0.0667 0.9365  0.28
Ti 0.5000 0.4333 0.4365  0.28
Ti 0.5000 0.5667 0.5635  0.28
Ti 0.5000 0.7757 0.4408  0.69
Ti 0.5000 0.2243 0.5592  0.69
Ti 0.5000 0.2757 0.0592  0.69
Ti 0.5000 0.7243 0.9408  0.69
Ti 0.5000 0.9287 0.3110  0.88
Ti 0.5000 0.0713 0.6890  0.88
Ti 0.5000 0.4287 0.1890  0.88
Ti 0.5000 0.5713 0.8110  0.88
Al 0.0000 0.6028 0.3133  -0.02
Al 0.0000 0.3972 0.6867  -0.02
Al 0.0000 0.1028 0.1867  -0.02
Al 0.0000 0.8972 0.8133  -0.02
Au 0.0000 0.6019 0.0691  0.06
Au 0.0000 0.3981 0.9309  0.06
Au 0.0000 0.1019 0.4309  0.06
Au 0.0000 0.8981 0.5691  0.06

=====

b:
Density functional theory data (PBE-GGA) for a geometry-optimized Ti4AlAu structure.

Calculated values
space group = Cmc2_1, No. 36
calculated volume = 16.96 A^3/atom
magnetization = 0.00 μB per formula unit

Lattice parameters (Å, degrees): 3.0603 7.2136 9.4330 90.00 90.00 102.25
Positions (direct):
Ti 0.9768 0.9535 0.2416
Ti 0.0232 0.0465 0.7416
Ti 0.8328 0.6655 0.0284
Ti 0.1672 0.3345 0.5284
Ti 0.6510 0.3019 0.2757
Ti 0.3490 0.6981 0.7757
Ti 0.5039 0.0078 0.4900
Ti 0.4961 0.9922 0.9900
Al 0.6841 0.3683 0.7946
Al 0.3159 0.6317 0.2946
Au 0.8400 0.6800 0.5307
Au 0.1600 0.3200 0.0307

=====

Name the most stable of them. b.

=====

a:
Density functional theory data (PBE-GGA) for a geometry-optimized TiAl2Au6 structure.

Calculated values
space group = C2/c, No. 15
calculated volume = 17.62 A^3/atom
magnetization = 0.00 μB per formula unit

Lattice parameters (Å, degrees): 7.4551 7.0384 7.0384 86.12 68.17 68.17
Positions (direct):
Ti 0.2500 0.0987 0.9013
Ti 0.7500 0.9013 0.0987
Al 0.4512 0.4696 0.7360
Al 0.0488 0.2640 0.5304
Al 0.5488 0.5304 0.2640
Al 0.9512 0.7360 0.4696
Au 0.5579 0.7725 0.5225
Au 0.9421 0.4775 0.2275
Au 0.4421 0.2275 0.4775
Au 0.0579 0.5225 0.7725
Au 0.8926 0.1024 0.3137
Au 0.6074 0.6863 0.8976
Au 0.1074 0.8976 0.6863
Au 0.3926 0.3137 0.1024
Au 0.1692 0.7388 0.0539
Au 0.3308 0.9461 0.2612
Au 0.8308 0.2612 0.9461
Au 0.6692 0.0539 0.7388

=====

b:
Density functional theory data (PBE-GGA) for a geometry-optimized TiAl2Au6 structure.

Calculated values
space group = C2/c, No. 15
calculated volume = 17.67 A^3/atom
magnetization = 0.00 μB per formula unit

Lattice parameters (Å, degrees): 4.3702 9.2012 9.2012 60.21 83.26 83.26
Positions (direct):
Ti 0.2500 0.1395 0.8605
Ti 0.7500 0.8605 0.1395
Al 0.4008 0.5099 0.8193
Al 0.0992 0.1807 0.4901
Al 0.5992 0.4901 0.1807
Al 0.9008 0.8193 0.5099
Au 0.4648 0.6763 0.4586
Au 0.0352 0.5414 0.3237
Au 0.5352 0.3237 0.5414
Au 0.9648 0.4586 0.6763
Au 0.6434 0.1337 0.3498
Au 0.8566 0.6502 0.8663
Au 0.3566 0.8663 0.6502
Au 0.1434 0.3498 0.1337
Au 0.3056 0.7847 0.0054
Au 0.1944 0.9946 0.2153
Au 0.6944 0.2153 0.9946
Au 0.8056 0.0054 0.7847

=====

Name the most stable of them. a.

=====

a:
Density functional theory data (PBE-GGA) for a geometry-optimized Al2TlAu structure.

Calculated values
space group = P2/m, No. 10
calculated volume = 20.72 A^3/atom
magnetization = 0.00 μB per formula unit

Lattice parameters (Å, degrees): 3.3245 3.0652 8.1895 83.38 90.00 90.00
Positions (direct):
Tl 0.5000 0.7500 0.7500
Au 0.5000 0.2500 0.2500
Al 0.0000 0.8191 0.0536
Al 0.0000 0.6809 0.4464

=====

b:
Density functional theory data (PBE-GGA) for a geometry-optimized Al2TlAu structure.

Calculated values
space group = Cm, No. 8
calculated volume = 21.38 A^3/atom
magnetization = 0.00 μB per formula unit

Lattice parameters (Å, degrees): 4.7512 4.7512 5.8896 76.02 76.02 41.75
Positions (direct):
Tl 0.7568 0.7568 0.7613
Au 0.5121 0.5121 0.4033
Al 0.9889 0.9889 0.0497
Al 0.2421 0.2421 0.2857

=====

c:
Density functional theory data (PBE-GGA) for a geometry-optimized Al2TlAu structure.

Calculated values
space group = F-43m, No. 216
calculated volume = 20.92 A^3/atom
magnetization = 0.00 μB per formula unit

Lattice parameters (Å, degrees): 4.9093 4.9093 4.9093 60.00 60.00 60.00
Positions (direct):
Tl 0.7500 0.7500 0.7500
Au 0.5000 0.5000 0.5000
Al 0.0000 0.0000 0.0000
Al 0.2500 0.2500 0.2500

=====

Name the most stable of them. a.

=====

a:
Density functional theory data (PBE-GGA) for a geometry-optimized AlTlAu2 structure.

Calculated values
space group = Immm, No. 71
calculated volume = 20.73 A^3/atom
magnetization = 0.00 μB per formula unit

Lattice parameters (Å, degrees): 5.9597 5.9597 5.9597 150.59 126.41 62.31
Positions (direct):
Tl 0.2500 0.7500 0.5000
Au 0.9560 0.9560 0.0000
Au 0.5440 0.5440 0.0000
Al 0.7500 0.2500 0.5000

=====

b:
Density functional theory data (PBE-GGA) for a geometry-optimized AlTlAu2 structure.

Calculated values
space group = P2/m, No. 10
calculated volume = 20.51 A^3/atom
magnetization = 0.00 μB per formula unit

Lattice parameters (Å, degrees): 3.2010 3.1322 8.4673 75.14 90.00 90.00
Positions (direct):
Tl 0.5000 0.2500 0.2500
Au 0.0000 0.1168 0.9377
Au 0.0000 0.3832 0.5623
Al 0.5000 0.7500 0.7500

=====

Name the most stable of them. b.

=====

a:
Density functional theory data (PBE-GGA) for a geometry-optimized AlTlAu2 structure.

Calculated values
space group = C2/m, No. 12
calculated volume = 20.34 A^3/atom
magnetization = 0.00 μB per formula unit

Lattice parameters (Å, degrees): 6.7852 4.7855 3.6950 89.33 58.12 120.33
Positions (direct):
Tl 0.0000 0.5000 0.5000
Au 0.0000 0.0000 0.0000
Au 0.5000 0.0000 0.5000
Al 0.5000 0.5000 0.0000

=====

b:
Density functional theory data (PBE-GGA) for a geometry-optimized AlTlAu2 structure.

Calculated values
space group = P4/nmm, No. 129
calculated volume = 25.13 A^3/atom
magnetization = 0.00 μB per formula unit

Lattice parameters (Å, degrees): 4.1905 4.1905 11.4483 90.01 90.01 90.00
Positions (direct):
Al 0.2499 0.2499 0.3657
Al 0.7501 0.7501 0.6343
Tl 0.2504 0.2504 0.8871
Tl 0.7496 0.7496 0.1129
Au 0.7503 0.7503 0.8483
Au 0.7500 0.2500 0.5000
Au 0.2497 0.2497 0.1517
Au 0.2500 0.7500 0.5000

=====

c:
Density functional theory data (PBE-GGA) for a geometry-optimized AlTlAu2 structure.

Calculated values
space group = C2/m, No. 12
calculated volume = 22.37 A^3/atom
magnetization = 0.00 μB per formula unit

Lattice parameters (Å, degrees): 3.9186 3.9186 7.1005 73.56 73.56 60.30
Positions (direct):
Tl 0.2500 0.2500 0.2500
Au 0.0170 0.0170 0.9445
Au 0.4830 0.4830 0.5555
Al 0.7500 0.7500 0.7500

=====

Name the most stable of them. c.

=====

a:
Density functional theory data (PBE-GGA) for a geometry-optimized AlTlAu2 structure.

Calculated values
space group = R3m, No. 160
calculated volume = 21.99 A^3/atom
magnetization = 0.00 μB per formula unit

Lattice parameters (Å, degrees): 3.7240 3.7240 7.6324 75.88 75.88 60.00
Positions (direct):
Al 0.6669 0.6669 0.9994
Tl 0.4997 0.4997 0.5008
Au 0.0680 0.0680 0.7959
Au 0.2654 0.2654 0.2039

=====

b:
Density functional theory data (PBE-GGA) for a geometry-optimized AlTlAu2 structure.

Calculated values
space group = Pmm2, No. 25
calculated volume = 21.10 A^3/atom
magnetization = 0.00 μB per formula unit

Lattice parameters (Å, degrees): 3.1793 3.8807 6.8416 90.00 90.00 90.00
Positions (direct):
Tl 0.0000 0.0000 0.4866
Au 0.0000 0.0000 0.9669
Au 0.5000 0.5000 0.2174
Al 0.5000 0.5000 0.8291

=====

c:
Density functional theory data (PBE-GGA) for a geometry-optimized AlTlAu2 structure.

Calculated values
space group = Pmmm, No. 47
calculated volume = 20.50 A^3/atom
magnetization = 0.00 μB per formula unit

Lattice parameters (Å, degrees): 3.0612 3.2101 8.3450 90.00 90.00 90.00
Positions (direct):
Tl 0.5000 0.5000 0.2500
Au 0.0000 0.0000 0.9376
Au 0.0000 0.0000 0.5624
Al 0.5000 0.5000 0.7500

=====

Name the most stable of them. c.